[1]
A relaxed structure of Pd2PbCl8. Source: the Alexandria database, functional PBE.

Cell lengths 4.9684, 8.3561, 8.3557 Å; angles 120.00, 90.00, 90.00 degrees
Last column: nearest neighbours and their distance in Å.
Fractional positions:
Pd1 0.2451 0.3333 0.6667  5 Cl 2.36-2.52
Pd2 0.7549 0.6666 0.3333  5 Cl 2.36-2.52
Pb1 0.0000 0.0000 0.0000  6 Cl 2.82
Cl1 0.2472 0.6667 0.3333  2 Pd 2.45-2.52
Cl2 0.7528 0.3333 0.6666  2 Pd 2.45-2.52
Cl3 0.7254 0.8281 0.1697  1 Pd 2.36
Cl4 0.2746 0.1697 0.3416  1 Pd 2.36
Cl5 0.2746 0.6585 0.8281  1 Pd 2.36
Cl6 0.2746 0.1718 0.8303  1 Pd 2.36
Cl7 0.7254 0.8303 0.6584  1 Pd 2.36
Cl8 0.7254 0.3416 0.1719  1 Pd 2.36

Uncorrected energy (eV per atom): -2.9433
Uncorrected formation energy (eV per atom): -0.319

[2]
A relaxed structure of Pd3PbCl. Source: the Alexandria database, functional PBE.

Cell lengths 5.1305, 5.1305, 5.1305 Å; angles 90.00, 90.00, 90.00 degrees
Last column: nearest neighbours and their distance in Å.
Fractional positions:
Pb1 0.0000 0.0000 0.0000  6 Pd 2.57
Pd1 0.0000 0.5000 0.0000  2 Pb 2.57
Pd2 0.0000 0.0000 0.5000  2 Pb 2.57
Pd3 0.5000 0.0000 0.0000  2 Pb 2.57
Cl1 0.5000 0.5000 0.5000  12 Pd 3.63

Uncorrected energy (eV per atom): -3.5395
Uncorrected formation energy (eV per atom): 0.687
Energy above the lowest structure with this stoichiometry (eV per atom): 0.467

[3]
A relaxed structure of PdPb2Cl. Source: the Alexandria database, functional PBE.

Cell lengths 5.1202, 5.1202, 5.1202 Å; angles 60.00, 60.00, 60.00 degrees
Last column: nearest neighbours and their distance in Å.
Fractional positions:
Pb1 0.2500 0.2500 0.2500  4 Pd 3.14, 4 Cl 3.14
Pb2 0.7500 0.7500 0.7500  4 Pd 3.14, 4 Cl 3.14
Pd1 0.5000 0.5000 0.5000  8 Pb 3.14
Cl1 0.0000 0.0000 0.0000  8 Pb 3.14

Uncorrected energy (eV per atom): -3.7922
Uncorrected formation energy (eV per atom): -0.178
Energy above the lowest structure with this stoichiometry (eV per atom): 0.214

[4]
A relaxed structure of PdPb2Cl. Source: the Alexandria database, functional PBE.

Cell lengths 3.8410, 3.8410, 8.5591 Å; angles 77.03, 77.03, 60.00 degrees
Last column: nearest neighbours and their distance in Å.
Fractional positions:
Pd1 0.6678 0.6678 0.9967  6 Pb 2.86-2.87
Pb1 0.0743 0.0743 0.7771  3 Pd 2.87, 3 Cl 3.13
Pb2 0.2613 0.2613 0.2160  3 Pd 2.86
Cl1 0.4966 0.4966 0.5101  6 Pb 3.13-3.29

Uncorrected energy (eV per atom): -3.9995
Uncorrected formation energy (eV per atom): -0.385
Energy above the lowest structure with this stoichiometry (eV per atom): 0.006

[5]
A relaxed structure of PdPbCl4. Source: the Alexandria database, functional PBE.

Cell lengths 6.9259, 6.9259, 8.3962 Å; angles 81.23, 81.23, 61.09 degrees
Last column: nearest neighbours and their distance in Å.
Fractional positions:
Pd1 0.1921 0.8079 0.2500  4 Cl 2.34-2.35
Pd2 0.8079 0.1921 0.7500  4 Cl 2.34-2.35
Pb1 0.5000 0.0000 0.5000  6 Cl 2.86-3.20
Pb2 0.0000 0.5000 0.0000  6 Cl 2.86-3.20
Cl1 0.0513 0.3453 0.6839  1 Pd 2.35
Cl2 0.2484 0.7674 0.5236  1 Pd 2.34
Cl3 0.7516 0.2326 0.4764  1 Pd 2.34
Cl4 0.3453 0.0513 0.1839  1 Pd 2.35
Cl5 0.6547 0.9487 0.8161  1 Pd 2.35
Cl6 0.2326 0.7516 0.9764  1 Pd 2.34
Cl7 0.7674 0.2484 0.0236  1 Pd 2.34
Cl8 0.9487 0.6547 0.3161  1 Pd 2.35

Uncorrected energy (eV per atom): -3.4190
Uncorrected formation energy (eV per atom): -0.704
Energy above the lowest structure with this stoichiometry (eV per atom): 0.077

[6]
A relaxed structure of Pd2PbCl. Source: the Alexandria database, functional PBE.

Cell lengths 4.7705, 4.7705, 4.7705 Å; angles 60.00, 60.00, 60.00 degrees
Last column: nearest neighbours and their distance in Å.
Fractional positions:
Pb1 0.5000 0.5000 0.5000  8 Pd 2.92
Pd1 0.2500 0.2500 0.2500  4 Cl 2.92, 4 Pb 2.92
Pd2 0.7500 0.7500 0.7500  4 Cl 2.92, 4 Pb 2.92
Cl1 0.0000 0.0000 0.0000  8 Pd 2.92

Uncorrected energy (eV per atom): -4.0800
Uncorrected formation energy (eV per atom): -0.095
Energy above the lowest structure with this stoichiometry (eV per atom): 0.000

[7]
A relaxed structure of Pd2Pb4Cl. Source: the Alexandria database, functional PBE.

Cell lengths 5.4329, 5.4329, 8.1674 Å; angles 70.57, 70.57, 90.00 degrees
Last column: nearest neighbours and their distance in Å.
Fractional positions:
Pb1 0.7758 0.7758 0.4485  1 Pd 2.64
Pb2 0.2242 0.2242 0.5515  1 Pd 2.64
Pb3 0.0000 0.5000 0.0000  2 Cl 2.72, 4 Pd 3.03
Pb4 0.5000 0.0000 0.0000  2 Cl 2.72, 4 Pd 3.03
Pd1 0.5928 0.5928 0.8143  1 Pb 2.64, 1 Pd 2.68
Pd2 0.4072 0.4072 0.1857  1 Pb 2.64, 1 Pd 2.68
Cl1 0.0000 0.0000 0.0000  4 Pb 2.72

Uncorrected energy (eV per atom): -3.8060
Uncorrected formation energy (eV per atom): 0.061

[8]
A relaxed structure of PdPbCl3. Source: the Alexandria database, functional PBE.

Cell lengths 5.5217, 5.5217, 5.5217 Å; angles 90.00, 90.00, 90.00 degrees
Last column: nearest neighbours and their distance in Å.
Fractional positions:
Pb1 0.0000 0.0000 0.0000  6 Cl 2.76
Pd1 0.5000 0.5000 0.5000  12 Cl 3.90
Cl1 0.0000 0.5000 0.0000  2 Pb 2.76
Cl2 0.0000 0.0000 0.5000  2 Pb 2.76
Cl3 0.5000 0.0000 0.0000  2 Pb 2.76

Uncorrected energy (eV per atom): -3.0441
Uncorrected formation energy (eV per atom): -0.156